Entry from the Alexandria database: a relaxed structure of BPd2Pt2 (PBE-GGA).

Cell and atoms, written as extended XYZ:
```
10
Lattice="-1.838 5.581 -2.046 -3.811 3.236 2.790 2.552 4.984 1.354" Properties=species:S:1:pos:R:3 pbc="T T T"
Pt -0.866 8.144 1.269
Pd -1.045 4.070 -1.268
Pd -0.409 6.732 -1.097
Pd 1.124 3.832 0.405
Pt -1.930 10.957 0.437
B -3.193 3.141 1.975
B -2.456 5.676 -1.231
Pd 1.760 6.495 0.576
Pt -2.231 5.656 0.829
Pt -1.166 2.844 1.661
```

Summary:
SG: C2/m, No. 12
Uncorrected energy in eV/cell: -59.4
Energy of formation in eV/atom: -0.1126
Total magnetization in μB per cell: 0.00